{
  "formula": "Cs2PtI6Cl",
  "functional": "PBE-GGA",
  "state": "relaxed",
  "lattice_angstrom": [[-4.373, 4.373, 5.599], [4.373, -4.373, 5.599], [4.373, 4.373, -5.599]],
  "species": ["Cs", "Cs", "Pt", "I", "I", "I", "I", "I", "I", "Cl"],
  "frac_coords": [[0.250, 0.750, 0.500], [0.750, 0.250, 0.500], [0.000, 0.000, 0.000], [0.217, 0.217, 0.435], [0.217, 0.783, 0.000], [0.250, 0.250, 0.000], [0.750, 0.750, 0.000], [0.783, 0.217, 0.000], [0.783, 0.783, 0.565], [0.500, 0.500, 0.000]],
  "spacegroup": "I4/mmm (139)",
  "m_tot_mub_per_fu": 0.0,
  "density_g_cm3": 4.88
}

***

{
  "formula": "Cs2PtICl6",
  "functional": "PBE-GGA",
  "state": "relaxed",
  "lattice_angstrom": [[-3.802, 3.802, 5.818], [3.802, -3.802, 5.818], [3.802, 3.802, -5.818]],
  "species": ["Cs", "Cs", "Pt", "I", "Cl", "Cl", "Cl", "Cl", "Cl", "Cl"],
  "frac_coords": [[0.250, 0.750, 0.500], [0.750, 0.250, 0.500], [0.000, 0.000, 0.000], [0.500, 0.500, 0.000], [0.202, 0.202, 0.000], [0.224, 0.224, 0.448], [0.224, 0.776, 0.000], [0.776, 0.224, 0.000], [0.776, 0.776, 0.552], [0.798, 0.798, 0.000]],
  "spacegroup": "I4/mmm (139)",
  "m_tot_mub_per_fu": 0.0,
  "density_g_cm3": 3.95
}

***

{
  "formula": "Cs3Pu2I4Cl3",
  "functional": "PBE-GGA",
  "state": "relaxed",
  "lattice_angstrom": [[-2.796, 15.506, 3.183], [2.796, -15.506, 3.183], [2.796, 15.506, -3.183]],
  "species": ["Cs", "Cs", "Cs", "Pu", "Pu", "I", "I", "I", "I", "Cl", "Cl", "Cl"],
  "frac_coords": [[0.000, 0.000, 0.000], [0.096, 0.915, 0.180], [0.735, 0.915, 0.820], [0.303, 0.894, 0.409], [0.485, 0.894, 0.591], [0.204, 0.899, 0.305], [0.594, 0.899, 0.695], [0.801, 0.390, 0.411], [0.980, 0.390, 0.589], [0.276, 0.368, 0.909], [0.375, 0.875, 0.500], [0.459, 0.368, 0.091]],
  "spacegroup": "Imm2 (44)",
  "m_tot_mub_per_fu": 12.0,
  "density_g_cm3": 4.51
}

***

{
  "formula": "CsPuICl3",
  "functional": "PBE-GGA",
  "state": "relaxed",
  "lattice_angstrom": [[3.492, -11.804, 0.000], [3.492, 11.804, 0.000], [0.000, 0.000, 7.693]],
  "species": ["Cs", "Cs", "Pu", "Pu", "I", "I", "Cl", "Cl", "Cl", "Cl", "Cl", "Cl"],
  "frac_coords": [[0.232, 0.768, 0.750], [0.768, 0.232, 0.250], [0.471, 0.529, 0.250], [0.529, 0.471, 0.750], [0.192, 0.808, 0.250], [0.808, 0.192, 0.750], [0.248, 0.248, 0.000], [0.248, 0.248, 0.500], [0.364, 0.636, 0.250], [0.636, 0.364, 0.750], [0.752, 0.752, 0.000], [0.752, 0.752, 0.500]],
  "spacegroup": "Cmcm (63)",
  "m_tot_mub_per_fu": 4.9,
  "density_g_cm3": 3.20
}

***

{
  "formula": "Cs2PuI2Cl4",
  "functional": "PBE-GGA",
  "state": "relaxed",
  "lattice_angstrom": [[-4.082, 4.082, 5.570], [4.082, -4.082, 5.570], [4.082, 4.082, -5.570]],
  "species": ["Cs", "Cs", "Pu", "I", "I", "Cl", "Cl", "Cl", "Cl"],
  "frac_coords": [[0.250, 0.750, 0.500], [0.750, 0.250, 0.500], [0.000, 0.000, 0.000], [0.271, 0.271, 0.000], [0.729, 0.729, 0.000], [0.225, 0.225, 0.449], [0.225, 0.775, 0.000], [0.775, 0.225, 0.000], [0.775, 0.775, 0.551]],
  "spacegroup": "I4/mmm (139)",
  "m_tot_mub_per_fu": 4.0,
  "density_g_cm3": 4.05
}

***

{
  "formula": "Cs2PuI5Cl",
  "functional": "PBE-GGA",
  "state": "relaxed",
  "lattice_angstrom": [[-4.294, 4.294, 5.877], [4.294, -4.294, 5.877], [4.294, 4.294, -5.877]],
  "species": ["Cs", "Cs", "Pu", "I", "I", "I", "I", "I", "Cl"],
  "frac_coords": [[0.000, 0.500, 0.500], [0.500, 0.000, 0.500], [0.245, 0.245, 0.000], [0.002, 0.002, 0.504], [0.002, 0.499, 0.000], [0.499, 0.002, 0.000], [0.499, 0.499, 0.496], [0.500, 0.500, 0.000], [0.027, 0.027, 0.000]],
  "spacegroup": "I4mm (107)",
  "m_tot_mub_per_fu": 4.0,
  "density_g_cm3": 4.52
}

***

{
  "formula": "CsRb2ICl",
  "functional": "PBE-GGA",
  "state": "relaxed",
  "lattice_angstrom": [[6.432, 0.000, 0.000], [0.000, 6.432, 0.000], [0.000, 0.000, 7.094]],
  "species": ["Cs", "Rb", "Rb", "I", "Cl"],
  "frac_coords": [[0.000, 0.000, 0.000], [0.000, 0.500, 0.500], [0.500, 0.000, 0.500], [0.500, 0.500, 0.000], [0.000, 0.000, 0.500]],
  "spacegroup": "P4/mmm (123)",
  "m_tot_mub_per_fu": 0.0,
  "density_g_cm3": 2.64
}

***

{
  "formula": "Cs2RbI2Cl6",
  "functional": "PBE-GGA",
  "state": "relaxed",
  "lattice_angstrom": [[7.994, -3.840, 0.000], [7.994, 3.840, 0.000], [-5.019, 0.000, 7.850]],
  "species": ["Cs", "Cs", "Rb", "I", "I", "Cl", "Cl", "Cl", "Cl", "Cl", "Cl"],
  "frac_coords": [[0.220, 0.220, 0.171], [0.780, 0.780, 0.829], [0.000, 0.000, 0.500], [0.423, 0.423, 0.710], [0.577, 0.577, 0.290], [0.184, 0.638, 0.180], [0.238, 0.238, 0.582], [0.362, 0.816, 0.820], [0.638, 0.184, 0.180], [0.762, 0.762, 0.418], [0.816, 0.362, 0.820]],
  "spacegroup": "C2/m (12)",
  "m_tot_mub_per_fu": 1.1,
  "density_g_cm3": 2.82
}

***

{
  "formula": "Cs3Rb2I3Cl2",
  "functional": "PBE-GGA",
  "state": "relaxed",
  "lattice_angstrom": [[-2.922, 2.922, 16.676], [2.922, -2.922, 16.676], [2.922, 2.922, -16.676]],
  "species": ["Cs", "Cs", "Cs", "Rb", "Rb", "I", "I", "I", "Cl", "Cl"],
  "frac_coords": [[0.000, 0.000, 0.000], [0.387, 0.387, 0.000], [0.613, 0.613, 0.000], [0.250, 0.750, 0.500], [0.750, 0.250, 0.500], [0.121, 0.121, 0.000], [0.500, 0.500, 0.000], [0.879, 0.879, 0.000], [0.285, 0.285, 0.000], [0.715, 0.715, 0.000]],
  "spacegroup": "I4/mmm (139)",
  "m_tot_mub_per_fu": 0.3,
  "density_g_cm3": 2.98
}

***

{
  "formula": "Cs2RbI6Cl",
  "functional": "PBE-GGA",
  "state": "relaxed",
  "lattice_angstrom": [[-4.750, 4.750, 6.115], [4.750, -4.750, 6.115], [4.750, 4.750, -6.115]],
  "species": ["Cs", "Cs", "Rb", "I", "I", "I", "I", "I", "I", "Cl"],
  "frac_coords": [[0.250, 0.750, 0.500], [0.750, 0.250, 0.500], [0.000, 0.000, 0.000], [0.257, 0.257, 0.513], [0.257, 0.743, 0.000], [0.284, 0.284, 0.000], [0.716, 0.716, 0.000], [0.743, 0.257, 0.000], [0.743, 0.743, 0.487], [0.500, 0.500, 0.000]],
  "spacegroup": "I4/mmm (139)",
  "m_tot_mub_per_fu": 2.0,
  "density_g_cm3": 3.45
}

***

{
  "formula": "CsRb2ICl6",
  "functional": "PBE-GGA",
  "state": "relaxed",
  "lattice_angstrom": [[-4.031, 4.031, 7.052], [4.031, -4.031, 7.052], [4.031, 4.031, -7.052]],
  "species": ["Cs", "Rb", "Rb", "I", "Cl", "Cl", "Cl", "Cl", "Cl", "Cl"],
  "frac_coords": [[0.000, 0.000, 0.000], [0.250, 0.750, 0.500], [0.750, 0.250, 0.500], [0.500, 0.500, 0.000], [0.235, 0.235, 0.000], [0.280, 0.280, 0.561], [0.280, 0.720, 0.000], [0.720, 0.280, 0.000], [0.720, 0.720, 0.439], [0.765, 0.765, 0.000]],
  "spacegroup": "I4/mmm (139)",
  "m_tot_mub_per_fu": 0.0,
  "density_g_cm3": 2.33
}

***

{
  "formula": "CsRhICl2",
  "functional": "PBE-GGA",
  "state": "relaxed",
  "lattice_angstrom": [[5.120, 0.000, 0.000], [0.000, 5.120, 0.000], [0.000, 0.000, 5.458]],
  "species": ["Cs", "Rh", "I", "Cl", "Cl"],
  "frac_coords": [[0.000, 0.000, 0.000], [0.500, 0.500, 0.500], [0.500, 0.500, 0.000], [0.000, 0.500, 0.500], [0.500, 0.000, 0.500]],
  "spacegroup": "P4/mmm (123)",
  "m_tot_mub_per_fu": 0.0,
  "density_g_cm3": 5.03
}

***

{
  "formula": "Cs2RuI6Cl",
  "functional": "PBE-GGA",
  "state": "relaxed",
  "lattice_angstrom": [[-4.408, 4.408, 5.648], [4.408, -4.408, 5.648], [4.408, 4.408, -5.648]],
  "species": ["Cs", "Cs", "Ru", "I", "I", "I", "I", "I", "I", "Cl"],
  "frac_coords": [[0.250, 0.750, 0.500], [0.750, 0.250, 0.500], [0.000, 0.000, 0.000], [0.216, 0.216, 0.432], [0.216, 0.784, 0.000], [0.250, 0.250, 0.000], [0.750, 0.750, 0.000], [0.784, 0.216, 0.000], [0.784, 0.784, 0.568], [0.500, 0.500, 0.000]],
  "spacegroup": "I4/mmm (139)",
  "m_tot_mub_per_fu": 2.2,
  "density_g_cm3": 4.40
}

***

{
  "formula": "Cs2RuI2Cl4",
  "functional": "PBE-GGA",
  "state": "relaxed",
  "lattice_angstrom": [[-4.007, 4.007, 5.087], [4.007, -4.007, 5.087], [4.007, 4.007, -5.087]],
  "species": ["Cs", "Cs", "Ru", "I", "I", "Cl", "Cl", "Cl", "Cl"],
  "frac_coords": [[0.250, 0.750, 0.500], [0.750, 0.250, 0.500], [0.000, 0.000, 0.000], [0.267, 0.267, 0.000], [0.733, 0.733, 0.000], [0.209, 0.209, 0.417], [0.209, 0.791, 0.000], [0.791, 0.209, 0.000], [0.791, 0.791, 0.583]],
  "spacegroup": "I4/mmm (139)",
  "m_tot_mub_per_fu": 2.0,
  "density_g_cm3": 3.88
}

***

{
  "formula": "Cs2SI6Cl",
  "functional": "PBE-GGA",
  "state": "relaxed",
  "lattice_angstrom": [[-4.095, 4.095, 6.320], [4.095, -4.095, 6.320], [4.095, 4.095, -6.320]],
  "species": ["Cs", "Cs", "S", "I", "I", "I", "I", "I", "I", "Cl"],
  "frac_coords": [[0.250, 0.750, 0.500], [0.750, 0.250, 0.500], [0.000, 0.000, 0.000], [0.218, 0.218, 0.000], [0.242, 0.242, 0.484], [0.242, 0.758, 0.000], [0.758, 0.242, 0.000], [0.758, 0.758, 0.516], [0.782, 0.782, 0.000], [0.500, 0.500, 0.000]],
  "spacegroup": "I4/mmm (139)",
  "m_tot_mub_per_fu": 0.0,
  "density_g_cm3": 4.29
}

***

{
  "formula": "CsS2ICl",
  "functional": "PBE-GGA",
  "state": "relaxed",
  "lattice_angstrom": [[5.218, 0.000, 0.000], [0.000, 5.218, 0.000], [0.000, 0.000, 5.889]],
  "species": ["Cs", "S", "S", "I", "Cl"],
  "frac_coords": [[0.000, 0.000, 0.000], [0.000, 0.500, 0.500], [0.500, 0.000, 0.500], [0.500, 0.500, 0.500], [0.500, 0.500, 0.000]],
  "de_polymorph_mev_per_atom": 0.0,
  "spacegroup": "P4/mmm (123)",
  "m_tot_mub_per_fu": 0.0,
  "density_g_cm3": 3.72
}

***

{
  "formula": "CsS2ICl",
  "functional": "PBE-GGA",
  "state": "relaxed",
  "lattice_angstrom": [[5.814, 0.000, 0.000], [0.000, 5.814, 0.000], [0.000, 0.000, 6.367]],
  "species": ["Cs", "S", "S", "I", "Cl"],
  "frac_coords": [[0.000, 0.000, 0.000], [0.000, 0.500, 0.000], [0.500, 0.000, 0.000], [0.500, 0.500, 0.500], [0.000, 0.000, 0.500]],
  "de_polymorph_mev_per_atom": 1037.3,
  "spacegroup": "P4/mmm (123)",
  "m_tot_mub_per_fu": 4.4,
  "density_g_cm3": 2.77
}

***

{
  "formula": "Cs2SICl6",
  "functional": "PBE-GGA",
  "state": "relaxed",
  "lattice_angstrom": [[-4.053, 4.053, 5.293], [4.053, -4.053, 5.293], [4.053, 4.053, -5.293]],
  "species": ["Cs", "Cs", "S", "I", "Cl", "Cl", "Cl", "Cl", "Cl", "Cl"],
  "frac_coords": [[0.250, 0.750, 0.500], [0.750, 0.250, 0.500], [0.000, 0.000, 0.000], [0.500, 0.500, 0.000], [0.204, 0.204, 0.407], [0.204, 0.796, 0.000], [0.253, 0.253, 0.000], [0.747, 0.747, 0.000], [0.796, 0.204, 0.000], [0.796, 0.796, 0.593]],
  "spacegroup": "I4/mmm (139)",
  "m_tot_mub_per_fu": 0.0,
  "density_g_cm3": 3.04
}

***

{
  "formula": "Cs5U2S4ICl8",
  "functional": "PBE-GGA",
  "state": "relaxed",
  "lattice_angstrom": [[-3.888, 5.405, 8.808], [3.888, -5.405, 8.808], [3.888, 5.405, -8.808]],
  "species": ["Cs", "Cs", "Cs", "Cs", "Cs", "U", "U", "S", "S", "S", "S", "I", "Cl", "Cl", "Cl", "Cl", "Cl", "Cl", "Cl", "Cl"],
  "frac_coords": [[0.000, 0.000, 0.000], [0.077, 0.336, 0.741], [0.405, 0.664, 0.741], [0.595, 0.336, 0.259], [0.923, 0.664, 0.259], [0.393, 0.893, 0.500], [0.607, 0.107, 0.500], [0.405, 0.232, 0.637], [0.405, 0.768, 0.172], [0.595, 0.232, 0.828], [0.595, 0.768, 0.363], [0.000, 0.500, 0.500], [0.112, 0.864, 0.248], [0.283, 0.023, 0.740], [0.283, 0.544, 0.260], [0.384, 0.136, 0.248], [0.616, 0.864, 0.752], [0.717, 0.456, 0.740], [0.717, 0.977, 0.260], [0.888, 0.136, 0.752]],
  "spacegroup": "Immm (71)",
  "m_tot_mub_per_fu": 4.0,
  "density_g_cm3": 3.77
}

***

{
  "formula": "Cs2SbICl6",
  "functional": "PBE-GGA",
  "state": "relaxed",
  "lattice_angstrom": [[3.689, 2.130, 18.508], [-3.689, 2.130, 18.508], [0.000, -4.259, 18.508]],
  "species": ["Cs", "Cs", "Cs", "Cs", "Sb", "Sb", "I", "I", "Cl", "Cl", "Cl", "Cl", "Cl", "Cl", "Cl", "Cl", "Cl", "Cl", "Cl", "Cl"],
  "frac_coords": [[0.135, 0.135, 0.135], [0.300, 0.300, 0.300], [0.700, 0.700, 0.700], [0.865, 0.865, 0.865], [0.000, 0.000, 0.000], [0.500, 0.500, 0.500], [0.406, 0.406, 0.406], [0.594, 0.594, 0.594], [0.150, 0.637, 0.637], [0.184, 0.184, 0.711], [0.184, 0.711, 0.184], [0.289, 0.816, 0.816], [0.363, 0.363, 0.850], [0.363, 0.850, 0.363], [0.637, 0.150, 0.637], [0.637, 0.637, 0.150], [0.711, 0.184, 0.184], [0.816, 0.289, 0.816], [0.816, 0.816, 0.289], [0.850, 0.363, 0.363]],
  "de_polymorph_mev_per_atom": 20.3,
  "spacegroup": "R-3m (166)",
  "m_tot_mub_per_fu": 0.4,
  "density_g_cm3": 2.77
}

***

Number 1: E_form (uncorrected) -0.731 eV/atom. Number 2: E_form (uncorrected) -1.021 eV/atom. Number 3: E_form (uncorrected) -1.538 eV/atom. Number 4: E_form (uncorrected) -1.655 eV/atom. Number 5: E_form (uncorrected) -1.678 eV/atom. Number 6: E_form (uncorrected) -1.336 eV/atom. Number 7: E_form (uncorrected) -1.203 eV/atom. Number 8: E_form (uncorrected) -1.040 eV/atom. Number 9: E_form (uncorrected) -1.640 eV/atom. Number 10: E_form (uncorrected) -0.649 eV/atom. Number 11: E_form (uncorrected) -1.127 eV/atom. Number 12: E_form (uncorrected) -0.793 eV/atom. Number 13: E_form (uncorrected) -0.604 eV/atom. Number 14: E_form (uncorrected) -1.062 eV/atom. Number 15: E_form (uncorrected) -0.546 eV/atom. Number 16: E_form (uncorrected) -0.220 eV/atom. Number 17: E_form (uncorrected) 0.818 eV/atom. Number 18: E_form (uncorrected) -0.856 eV/atom. Number 19: E_form (uncorrected) -1.657 eV/atom. Number 20: E_form (uncorrected) -1.141 eV/atom.